SiPRh after structural relaxation, computed with GGA-PBE.

```
3
Lattice="4.019 0.000 0.000 2.009 3.480 0.000 2.009 1.160 3.281" Properties=species:S:1:pos:R:3 pbc="T T T"
P 0.000 0.000 0.000
Rh 4.019 2.320 1.641
Si 6.028 3.480 2.461
```

Computed properties:
* SG: F-43m (216)
* calculated total energy: -6.065 eV/atom
* energy relative to the elements, uncorrected: -3 meV/atom